Entry 1:
CaReTc2, relaxed, DFT PBE-GGA; uncorrected energy = -8.2283 eV/atom; calculated density = 10.41 Mg/m³; E_form = 55 kJ/mol of atoms; offset from the most stable computed form = 69 kJ/mol of formula units; DOS at the Fermi energy = 1.35 states/eV/atom; space group = Cmm2 (35)
1.0
-1.940 1.469 1.282
0.258 -2.427 1.269
6.534 3.667 5.687
Re Tc Ca
1 2 1
direct
0.500 0.500 0.776
0.500 0.500 0.224
0.000 0.000 0.002
0.000 0.000 0.499

=====

Entry 2:
TiBi2Pb, relaxed, DFT PBE-GGA; uncorrected energy = -4.8162 eV/atom; calculated density = 10.28 Mg/m³; E_form = 2 kJ/mol of atoms; offset from the most stable computed form = 12 kJ/mol of formula units; DOS at the Fermi energy = 1.11 states/eV/atom; space group = P4/mmm (123)
1.0
-2.624 -0.926 -2.238
1.989 -2.707 -1.212
-3.302 -5.106 5.985
Bi Pb Ti
2 1 1
direct
0.000 0.000 0.200
0.000 0.000 0.800
0.500 0.500 0.500
0.500 0.500 0.000

=====

Entry 3:
Ca2Sn2Te, relaxed, DFT PBE-GGA; uncorrected energy = -3.6339 eV/atom; formation energy from raw total energies = -3.02 eV/f.u.; calculated density = 4.51 Mg/m³; offset from the most stable computed form = 81 kJ/mol of formula units; DOS at the Fermi energy = 0.73 states/eV/atom; space group = P4/mbm (127)
1.0
-6.234 -5.394 1.497
2.345 -4.551 -6.632
2.831 -2.515 2.727
Ca Te Sn
4 2 4
direct
0.182 0.318 0.000
0.318 0.818 0.000
0.682 0.182 0.000
0.818 0.682 0.000
0.000 0.000 0.000
0.500 0.500 0.000
0.616 0.884 0.500
0.116 0.616 0.500
0.384 0.116 0.500
0.884 0.384 0.500

=====

Entry 4:
Sr2VSnRu, relaxed, DFT PBE-GGA; uncorrected energy = -4.7934 eV/atom; calculated density = 4.55 Mg/m³; E_form = 35 kJ/mol of atoms; DOS at the Fermi energy = 0.95 states/eV/atom; space group = P4/mmm (123)
1.0
-0.965 -1.486 -5.709
4.490 -0.307 -0.679
-0.164 -5.776 1.531
Ru Sn V Sr
1 1 1 2
direct
0.000 0.000 0.000
0.500 0.500 0.500
0.000 0.500 0.000
0.500 0.000 0.000
0.000 0.000 0.500

=====

Entry 5:
Al3CuP, relaxed, DFT PBE-GGA; uncorrected energy = -3.5396 eV/atom; calculated density = 2.88 Mg/m³; E_form = 59 kJ/mol of atoms; offset from the most stable computed form = 121 kJ/mol of formula units; DOS at the Fermi energy = 0.67 states/eV/atom; space group = Pm-3m (221)
1.0
-0.824 -4.253 -1.712
4.466 -0.351 -1.277
1.037 -1.867 4.140
Al Cu P
3 1 1
direct
0.000 0.500 0.000
0.500 0.000 0.000
0.000 0.000 0.500
0.500 0.500 0.500
0.000 0.000 0.000

=====

Entry 6:
PuNpCuIr, relaxed, DFT PBE-GGA; uncorrected energy = -10.2468 eV/atom; calculated density = 17.39 Mg/m³; E_form = -18 kJ/mol of atoms; DOS at the Fermi energy = 1.97 states/eV/atom; space group = F-43m (216)
1.0
4.634 0.000 0.000
2.317 4.013 0.000
2.317 1.338 3.784
Ir Np Pu Cu
1 1 1 1
direct
0.750 0.750 0.750
0.500 0.500 0.500
0.250 0.250 0.250
0.000 0.000 0.000

=====

Entry 7:
CaSe2N2, relaxed, DFT PBE-GGA; uncorrected energy = -3.7433 eV/atom; formation energy from raw total energies = 6.91 eV/f.u.; calculated density = 3.10 Mg/m³; offset from the most stable computed form = 336 kJ/mol of formula units; DOS at the Fermi energy = 0.46 states/eV/atom; space group = P4/mmm (123)
1.0
-2.134 -3.924 0.165
3.748 -1.978 1.422
-1.590 1.106 5.731
Se N Ca
2 2 1
direct
0.500 0.500 0.500
0.000 0.000 0.500
0.000 0.500 0.000
0.500 0.000 0.000
0.000 0.000 0.000

=====

Entry 8:
Pr3Nd4Tl5, relaxed, DFT PBE-GGA; uncorrected energy = -3.9441 eV/atom; calculated density = 8.68 Mg/m³; E_form = -17 kJ/mol of atoms; DOS at the Fermi energy = 1.18 states/eV/atom; space group = C2/m (12)
1.0
-3.478 -4.851 -1.045
2.253 -3.959 -6.695
2.007 -6.619 6.482
Tl Nd Pr
5 4 3
direct
0.151 0.537 0.161
0.500 0.500 0.500
0.849 0.463 0.839
0.349 0.117 0.185
0.651 0.883 0.815
0.808 0.012 0.373
0.192 0.988 0.627
0.831 0.242 0.096
0.169 0.758 0.904
0.000 0.500 0.500
0.466 0.286 0.783
0.534 0.714 0.217

=====

Entry 9:
Pm5YMg4, relaxed, DFT PBE-GGA; uncorrected energy = -3.7354 eV/atom; calculated density = 5.07 Mg/m³; E_form = -7 kJ/mol of atoms; DOS at the Fermi energy = 1.13 states/eV/atom; space group = P4/mmm (123)
1.0
3.819 0.000 0.000
0.000 3.819 0.000
0.000 0.000 20.463
Pm Y Mg
5 1 4
direct
0.500 0.500 0.500
0.500 0.500 0.691
0.500 0.500 0.118
0.500 0.500 0.882
0.500 0.500 0.309
0.000 0.000 0.000
0.000 0.000 0.596
0.000 0.000 0.787
0.000 0.000 0.213
0.000 0.000 0.404

=====

Entry 10:
ReSn3Te, relaxed, DFT PBE-GGA; uncorrected energy = -5.2701 eV/atom; formation energy from raw total energies = 1.25 eV/f.u.; calculated density = 7.76 Mg/m³; offset from the most stable computed form = 0 kJ/mol of formula units; DOS at the Fermi energy = 1.83 states/eV/atom; space group = Pm-3m (221)
1.0
-3.160 -3.364 2.468
3.503 -3.821 -0.722
2.266 1.216 4.559
Sn Re Te
3 1 1
direct
0.000 0.500 0.000
0.000 0.000 0.500
0.500 0.000 0.000
0.000 0.000 0.000
0.500 0.500 0.500

=====

Entry 11:
La3PbN, relaxed, DFT PBE-GGA; uncorrected energy = -5.6940 eV/atom; formation energy from raw total energies = -1.65 eV/f.u.; calculated density = 6.24 Mg/m³; DOS at the Fermi energy = 1.59 states/eV/atom; space group = R3m (160)
1.0
-4.317 -0.546 4.572
0.064 -5.001 -3.851
5.733 1.360 2.263
La Pb N
3 1 1
direct
0.221 0.854 0.221
0.221 0.221 0.854
0.854 0.221 0.221
0.569 0.569 0.569
0.009 0.009 0.009

=====

Entry 12:
Rb2SiHBr6, relaxed, DFT PBE-GGA; uncorrected energy = -2.8879 eV/atom; calculated density = 3.70 Mg/m³; DOS at the Fermi energy = 0.00 states/eV/atom; space group = I4/mmm (139)
1.0
-4.091 -6.319 -0.191
2.686 -1.943 6.762
-4.789 -1.557 5.648
Br Si Rb H
6 1 2 1
direct
0.773 0.773 0.454
0.227 0.227 0.546
0.771 0.229 0.000
0.229 0.771 0.000
0.771 0.771 0.000
0.229 0.229 0.000
0.000 0.000 0.000
0.750 0.250 0.500
0.250 0.750 0.500
0.500 0.500 0.000

=====

Entry 13:
Rb2SiBi, relaxed, DFT PBE-GGA; uncorrected energy = -2.6503 eV/atom; formation energy from raw total energies = 0.64 eV/f.u.; calculated density = 2.73 Mg/m³; offset from the most stable computed form = 45 kJ/mol of formula units; DOS at the Fermi energy = 0.41 states/eV/atom; space group = I-42d (122)
1.0
13.521 0.000 0.000
0.000 13.521 0.000
6.760 6.760 2.714
Si Rb Bi
2 4 2
direct
0.500 0.500 0.000
0.250 0.750 0.500
0.375 0.584 0.750
0.416 0.125 0.250
0.875 0.666 0.750
0.334 0.625 0.250
0.750 0.250 0.500
0.000 0.000 0.000

=====

Entry 14:
MnCu2W, relaxed, DFT PBE-GGA; uncorrected energy = -7.2736 eV/atom; calculated density = 11.13 Mg/m³; E_form = 29 kJ/mol of atoms; offset from the most stable computed form = 34 kJ/mol of formula units; DOS at the Fermi energy = 0.97 states/eV/atom; space group = Cmmm (65)
1.0
-0.752 2.519 -0.585
-1.005 0.271 2.484
6.654 2.548 2.414
Cu W Mn
2 1 1
direct
0.000 0.000 0.010
0.000 0.000 0.490
0.500 0.500 0.750
0.500 0.500 0.250

=====

Entry 15:
Li4CdGe, relaxed, DFT PBE-GGA; uncorrected energy = -2.4798 eV/atom; calculated density = 3.65 Mg/m³; E_form = -27 kJ/mol of atoms; offset from the most stable computed form = 0 kJ/mol of formula units; DOS at the Fermi energy = 0.20 states/eV/atom; space group = P6/mmm (191)
1.0
-4.291 0.330 1.225
3.023 -1.644 2.860
0.954 5.151 1.951
Ge Li Cd
1 4 1
direct
0.004 0.499 0.498
0.671 0.833 0.273
0.671 0.832 0.724
0.338 0.166 0.272
0.337 0.166 0.724
0.004 0.499 0.998

=====

Entry 16:
InFe2, relaxed, DFT PBE-GGA; uncorrected energy = -5.7286 eV/atom; calculated density = 6.85 Mg/m³; E_form = 80 kJ/mol of atoms; DOS at the Fermi energy = 0.70 states/eV/atom; space group = Fm-3m (225)
1.0
4.267 0.000 0.000
2.133 3.695 0.000
2.133 1.232 3.484
In Fe
1 2
direct
0.000 0.000 0.000
0.750 0.750 0.750
0.250 0.250 0.250

=====

Entry 17:
Al2Fe4Si3, relaxed, DFT PBE-GGA; uncorrected energy = -6.5185 eV/atom; formation energy from raw total energies = -1.06 eV/f.u.; calculated density = 5.28 Mg/m³; DOS at the Fermi energy = 0.81 states/eV/atom; space group = Cmcm (63)
1.0
6.654 -0.002 0.000
-5.642 3.527 0.000
0.000 0.000 9.696
Fe Al Si
8 4 6
direct
0.443 0.557 0.250
0.557 0.443 0.750
0.754 0.246 0.750
0.246 0.754 0.250
0.684 0.316 0.018
0.316 0.684 0.518
0.684 0.316 0.482
0.316 0.684 0.982
0.057 0.943 0.389
0.943 0.057 0.611
0.057 0.943 0.111
0.943 0.057 0.889
0.366 0.634 0.750
0.149 0.851 0.625
0.851 0.149 0.375
0.149 0.851 0.875
0.634 0.366 0.250
0.851 0.149 0.125

=====

Entry 18:
Li4MgHg, relaxed, DFT PBE-GGA; uncorrected energy = -1.7840 eV/atom; calculated density = 3.82 Mg/m³; E_form = -19 kJ/mol of atoms; offset from the most stable computed form = 0 kJ/mol of formula units; DOS at the Fermi energy = 0.39 states/eV/atom; space group = P2_1/m (11)
1.0
-1.568 2.726 -3.500
0.371 -4.412 -3.603
-7.507 -4.296 0.017
Li Hg Mg
8 2 2
direct
0.750 0.711 0.582
0.250 0.755 0.414
0.250 0.289 0.418
0.250 0.997 0.079
0.750 0.003 0.921
0.250 0.503 0.083
0.750 0.497 0.917
0.750 0.245 0.586
0.250 0.370 0.754
0.750 0.630 0.246
0.250 0.876 0.740
0.750 0.124 0.260

=====

Entry 19:
Ac2Sb2Au, relaxed, DFT PBE-GGA; uncorrected energy = -4.8679 eV/atom; formation energy from raw total energies = -4.60 eV/f.u.; calculated density = 9.24 Mg/m³; DOS at the Fermi energy = 0.69 states/eV/atom; space group = C2/m (12)
1.0
-4.479 -0.681 0.770
-1.142 -0.659 6.493
-3.739 10.772 1.486
Ac Au Sb
4 2 4
direct
0.322 0.705 0.652
0.074 0.748 0.103
0.678 0.295 0.348
0.926 0.252 0.897
0.585 0.129 0.702
0.415 0.871 0.298
0.930 0.728 0.412
0.667 0.789 0.876
0.070 0.272 0.588
0.333 0.211 0.124

=====

Entry 20:
Pr2Dy6Ho3Zr, relaxed, DFT PBE-GGA; uncorrected energy = -4.8987 eV/atom; calculated density = 8.19 Mg/m³; E_form = 5 kJ/mol of atoms; DOS at the Fermi energy = 1.26 states/eV/atom; space group = C2/m (12)
1.0
6.118 0.003 0.005
-3.055 5.300 0.005
-1.023 -1.771 11.522
Dy Zr Pr Ho
6 1 2 3
direct
0.243 0.243 0.752
0.757 0.757 0.248
0.409 0.083 0.249
0.917 0.591 0.751
0.083 0.409 0.249
0.591 0.917 0.751
0.000 0.000 0.000
0.667 0.333 0.000
0.333 0.667 0.000
0.834 0.166 0.500
0.500 0.500 0.500
0.166 0.834 0.500

=====

Entry 21:
NdDy3Th, relaxed, DFT PBE-GGA; uncorrected energy = -5.0242 eV/atom; calculated density = 8.63 Mg/m³; E_form = 17 kJ/mol of atoms; offset from the most stable computed form = 73 kJ/mol of formula units; DOS at the Fermi energy = 1.29 states/eV/atom; space group = Cmmm (65)
1.0
5.270 0.000 0.844
2.635 5.648 0.422
-1.739 0.000 10.889
Dy Nd Th
6 2 2
direct
0.000 0.000 0.325
0.349 0.303 0.807
0.651 0.697 0.193
0.651 0.697 0.807
0.000 0.000 0.675
0.349 0.303 0.193
0.653 0.694 0.500
0.347 0.306 0.500
0.865 0.270 0.000
0.135 0.730 0.000

=====

Entry 22:
Al2RhPb, relaxed, DFT PBE-GGA; uncorrected energy = -4.5762 eV/atom; calculated density = 8.30 Mg/m³; E_form = 6 kJ/mol of atoms; DOS at the Fermi energy = 0.70 states/eV/atom; space group = I-4m2 (119)
1.0
-4.218 -2.735 0.930
-1.503 -2.318 -4.301
4.529 0.184 2.365
Pb Al Rh
1 2 1
direct
0.500 0.500 0.000
0.250 0.750 0.500
0.000 0.000 0.000
0.750 0.250 0.500

=====

Entry 23:
Y2SnS, relaxed, DFT PBE-GGA; uncorrected energy = -6.5689 eV/atom; formation energy from raw total energies = -5.22 eV/f.u.; calculated density = 5.46 Mg/m³; offset from the most stable computed form = 5 kJ/mol of formula units; DOS at the Fermi energy = 0.69 states/eV/atom; space group = R3m (160)
1.0
-2.157 0.279 3.118
-2.037 -2.987 1.176
4.751 -3.335 5.903
S Y Sn
1 2 1
direct
0.667 0.667 0.998
0.265 0.265 0.204
0.068 0.068 0.796
0.499 0.499 0.502

=====

Entry 24:
LaDyGa2, relaxed, DFT PBE-GGA; uncorrected energy = -4.4914 eV/atom; calculated density = 7.00 Mg/m³; E_form = -57 kJ/mol of atoms; offset from the most stable computed form = 0 kJ/mol of formula units; DOS at the Fermi energy = 0.86 states/eV/atom; space group = Amm2 (38)
1.0
4.176 0.000 -1.521
0.000 4.171 0.000
-0.155 0.000 6.060
La Ga Dy
1 2 1
direct
0.440 0.500 0.419
0.016 0.000 0.570
0.159 0.500 0.856
0.717 0.000 0.973

=====

Entry 25:
NdHoEr2P4, relaxed, DFT PBE-GGA; uncorrected energy = -6.5964 eV/atom; calculated density = 6.91 Mg/m³; E_form = -153 kJ/mol of atoms; DOS at the Fermi energy = 0.10 states/eV/atom; space group = P2/m (10)
1.0
4.026 0.000 0.000
0.000 6.967 -0.137
0.000 2.452 6.524
Er P Ho Nd
2 4 1 1
direct
0.000 0.000 0.000
0.500 0.000 0.500
0.500 0.245 0.747
0.500 0.755 0.253
0.000 0.242 0.258
0.000 0.758 0.742
0.000 0.500 0.500
0.500 0.500 0.000

=====

Entry 26:
SrAl2W, relaxed, DFT PBE-GGA; uncorrected energy = -5.0574 eV/atom; calculated density = 6.43 Mg/m³; E_form = 46 kJ/mol of atoms; offset from the most stable computed form = 125 kJ/mol of formula units; DOS at the Fermi energy = 0.51 states/eV/atom; space group = Cm (8)
1.0
-0.502 -2.707 4.416
1.552 -4.011 2.931
4.160 2.652 3.425
W Al Sr
1 2 1
direct
0.273 0.273 0.157
0.009 0.009 0.029
0.724 0.724 0.803
0.494 0.494 0.510